No. 1
InSiAu2 | PBE | optimized geometry

The structure in extended XYZ format:
```
4
Lattice="3.407 0.000 0.000 0.000 3.407 0.000 0.000 0.000 7.689" Properties=species:S:1:pos:R:3 pbc="T T T"
In 0.000 0.000 0.000
Si 1.704 1.704 3.685
Au 0.000 0.000 2.813
Au 1.704 1.704 6.093
```

Properties
D(E_F): 1.475 states/eV per cell
V: 89.3 Å³ per cell
formation energy from raw total energies: 27 meV per atom

No. 2
Li2TlHg7 | PBE | optimized geometry

The structure in extended XYZ format:
```
10
Lattice="4.147 -6.709 0.000 4.147 6.709 0.000 0.000 0.000 5.143" Properties=species:S:1:pos:R:3 pbc="T T T"
Li 4.147 3.956 0.000
Li 4.147 -3.956 0.000
Tl 4.147 0.000 2.572
Hg 0.000 0.000 0.000
Hg 2.536 1.650 0.000
Hg 4.147 3.238 2.572
Hg 2.536 -1.650 0.000
Hg 5.759 1.650 0.000
Hg 4.147 -3.238 2.572
Hg 5.759 -1.650 0.000
```

Properties
formation enthalpy at 0 K: -0.45 eV per formula unit
D(E_F): 4.697 states/eV per cell
V: 286.2 Å³ per cell
distance to the lowest polymorph of the same formula: 73.3 meV/atom

No. 3
KNaMg14O15 | PBE | optimized geometry

The structure in extended XYZ format:
```
31
Lattice="4.412 0.000 0.000 0.000 8.788 0.000 0.000 0.000 8.481" Properties=species:S:1:pos:R:3 pbc="T T T"
K 0.000 0.000 0.000
Na 0.000 4.394 3.733
Mg 0.000 0.000 3.911
Mg 0.000 2.194 5.897
Mg 0.000 2.473 1.576
Mg 0.000 4.394 7.897
Mg 0.000 6.314 1.576
Mg 0.000 6.594 5.897
Mg 2.206 0.000 1.609
Mg 2.206 0.000 5.946
Mg 2.206 2.198 3.689
Mg 2.206 2.234 7.917
Mg 2.206 4.394 1.584
Mg 2.206 4.394 5.770
Mg 2.206 6.554 7.917
Mg 2.206 6.589 3.689
O 0.000 0.000 5.842
O 0.000 1.968 3.537
O 0.000 2.367 7.986
O 0.000 4.394 1.495
O 0.000 4.394 5.895
O 0.000 6.421 7.986
O 0.000 6.820 3.537
O 2.206 0.000 3.616
O 2.206 0.000 7.985
O 2.206 2.093 1.552
O 2.206 2.181 5.799
O 2.206 4.394 3.640
O 2.206 4.394 7.964
O 2.206 6.606 5.799
O 2.206 6.695 1.552
```

Properties
V: 328.8 Å³ per cell
formation energy from raw total energies: -2374 meV per atom
distance to the lowest polymorph of the same formula: 0.0 meV/atom

No. 4
CaGaIO6 | PBE | optimized geometry

The structure in extended XYZ format:
```
18
Lattice="5.163 0.000 0.000 -2.582 4.472 0.000 0.000 0.000 10.193" Properties=species:S:1:pos:R:3 pbc="T T T"
Ca 0.000 0.000 0.000
Ca 0.000 0.000 5.096
Ga 0.000 2.981 2.548
Ga 2.582 1.491 7.644
I 0.000 2.981 7.644
I 2.582 1.491 2.548
O -0.901 1.692 6.562
O -1.567 2.846 8.727
O 0.901 1.692 8.727
O -0.666 4.406 6.562
O 1.916 0.066 1.466
O 1.015 1.626 3.630
O 1.567 2.846 6.562
O 0.666 4.406 8.727
O 3.248 0.066 3.630
O 1.681 2.780 1.466
O 4.148 1.626 1.466
O 3.482 2.780 3.630
```

Properties
D(E_F): 0.000 states/eV per cell
V: 235.3 Å³ per cell
formation energy from raw total energies: -1451 meV per atom